No. 1
The following is a DFT calculation (GGA-PBE) of a geometry-optimized Cs2Hg3Pd structure.

## Properties
Energy above the most stable polymorph in this dataset in meV/atom: 0
E_form in meV/atom: -198
DFT total energy in eV per atom: -1.499

Cell lengths 12.782, 11.212, 6.473 Å; angles 90.00, 90.00, 90.00 degrees
Space group Cmcm (No. 63)
Symmetry-distinct sites (fractional):
Cs 0.161 0.190 0.250 [8 per cell]
Hg 0.000 0.101 0.750 [4 per cell]
Hg 0.125 0.500 0.000 [8 per cell]
Pd 0.000 0.346 0.750 [4 per cell]



No. 2
The following is a DFT calculation (GGA-PBE) of a geometry-optimized La2MgO structure.

## Properties
Energy above the most stable polymorph in this dataset in meV/atom: 0
Formation energy (no corrections) in meV/atom: -1299
DFT total energy in eV per atom: -5.401

Cell lengths 3.7425, 3.7425, 25.7859 Å; angles 90.00, 90.00, 120.00 degrees
Space group R3m (No. 160, hexagonal axes)
Symmetry-distinct sites (fractional):
La 0.0000 0.0000 0.0000 [3 per cell]
La 0.0000 0.0000 0.2256 [3 per cell]
Mg 0.0000 0.0000 0.4460 [3 per cell]
O 0.0000 0.0000 0.6142 [3 per cell]